{"formula": "Y4CdPN2", "functional": "GGA-PBE", "state": "relaxed", "final_energy_ev_per_atom": -7.26, "total_magnetization_mub_per_cell": 0.171, "spacegroup": "P-6m2", "cell": [[3.612, 0.000, 0.000], [-1.806, 3.128, 0.000], [0.000, 0.000, 14.192]], "species": ["Cd", "N", "N", "P", "Y", "Y", "Y", "Y"], "frac_coords": [[0.000, 0.000, 0.000], [0.333, 0.667, 0.271], [0.333, 0.667, 0.729], [0.667, 0.333, 0.500], [0.667, 0.333, 0.180], [0.000, 0.000, 0.372], [0.000, 0.000, 0.628], [0.667, 0.333, 0.820]]}